Record 1
VASP calculation (GGA-PBE) on a relaxed structure of LaHo2Hg.

Structure (POSCAR):
```
LaHo2Hg
1.0
-1.285 4.672 -0.461
-2.428 -1.072 -4.096
-4.033 -0.851 2.613
Ho Hg La
2 1 1
Direct
0.000 0.000 0.500
0.000 0.500 0.000
0.500 0.500 0.500
0.500 0.000 0.000
```

Summary:
The symmetry is P4/mmm (123). The calculation puts the energy relative to the lowest polymorph listed for this composition at 89.2 meV per atom. The calculated total energy is -14.975 eV for the cell shown. As for the magnetic moment: 0.36 μB/f.u. As for the calculated volume: 115.94 Å³ per cell.

Record 2
VASP calculation (GGA-PBE) on a relaxed structure of Ca3MnAg.

Structure (POSCAR):
```
Ca3MnAg
1.0
5.424 0.000 0.000
0.000 5.424 0.000
0.000 0.000 5.424
Mn Ca Ag
1 3 1
Direct
0.000 0.000 0.000
0.000 0.500 0.000
0.000 0.000 0.500
0.500 0.000 0.000
0.500 0.500 0.500
```

Summary:
The symmetry is Pm-3m (221). The calculation puts the energy relative to the lowest polymorph listed for this composition at 86.2 meV per atom. The calculated total energy is -15.603 eV for the cell shown. As for the magnetic moment: 2.15 μB/f.u. As for the calculated volume: 159.61 Å³ per cell.

Record 3
VASP calculation (GGA-PBE) on a relaxed structure of CrAsW3.

Structure (POSCAR):
```
CrAsW3
1.0
4.534 0.000 0.000
0.000 4.534 0.000
0.000 0.000 4.534
W As Cr
3 1 1
Direct
0.000 0.500 0.000
0.500 0.000 0.000
0.000 0.000 0.500
0.500 0.500 0.500
0.000 0.000 0.000
```

Summary:
The symmetry is Pm-3m (221). The calculation puts the energy relative to the lowest polymorph listed for this composition at 0.0 meV per atom. The calculated total energy is -45.129 eV for the cell shown. As for the magnetic moment: 0.00 μB/f.u. As for the calculated volume: 93.21 Å³ per cell.

Record 4
VASP calculation (GGA-PBE) on a relaxed structure of Na4Ac3AlSe8.

Structure (POSCAR):
```
Na4Ac3AlSe8
1.0
8.713 0.000 0.000
0.000 8.702 -0.068
-4.356 -4.391 6.198
Ac Na Se Al
3 4 8 1
Direct
0.500 0.500 0.500
0.500 0.500 0.000
0.000 0.500 0.500
0.500 0.000 0.500
0.000 0.000 0.500
0.500 0.000 0.000
0.000 0.000 0.000
0.251 0.251 0.503
0.792 0.715 0.003
0.741 0.241 0.483
0.208 0.285 0.997
0.211 0.715 0.003
0.789 0.285 0.997
0.259 0.759 0.517
0.749 0.749 0.497
0.000 0.500 0.000
```

Summary:
The formation energy without anion corrections is -23.36 eV/f.u. The symmetry is C2/m (12). The calculated total energy is -72.581 eV for the cell shown. As for the magnetic moment: 0.00 μB/f.u. As for the calculated volume: 467.30 Å³ per cell.